(1)
This record from Alexandria via LeMat-Bulk describes crystalline LaSmEr6 at its relaxed geometry. The functional is GGA-PBE.

The raw total energy is -97.4 eV for the cell shown. Its distance to the lowest polymorph of the same formula is 151.8 kJ/mol of formula units. The calculation puts the energy of formation at 0.569 eV/atom.

The structure belongs to space group R-3m (No. 166, hexagonal axes); the cell edges are 8.6407, 8.6407 and 13.1041 Å and the angles 90.00°, 90.00° and 120.00°. Symmetry generates all atoms from La at (0.0000, 0.0000, 0.0000), Sm at (0.0000, 0.0000, 0.5000) and Er at (0.0907, 0.5453, 0.3912).

***

(2)
This record from Alexandria via LeMat-Bulk describes crystalline La6SmEr5 at its relaxed geometry. The functional is GGA-PBE.

The raw total energy is -56.8 eV for the cell shown. The calculation puts the energy of formation at 0.022 eV/atom.

The structure belongs to space group P-1 (No. 2); the cell edges are 6.196, 7.396 and 9.635 Å and the angles 112.43°, 92.37° and 90.04°. Symmetry generates all atoms from La at (0.000, 0.249, 0.000), La at (0.331, 0.083, 0.665), La at (0.331, 0.583, 0.665), Sm at (0.500, 0.500, 0.000), Er at (0.167, 0.667, 0.334), Er at (0.168, 0.166, 0.333) and Er at (0.500, 0.000, 0.000).

***

(3)
This record from Alexandria via LeMat-Bulk describes crystalline La4SmEr4 at its relaxed geometry. The functional is GGA-PBE.

The raw total energy is -84.8 eV for the cell shown. Its distance to the lowest polymorph of the same formula is 0.0 kJ/mol of formula units. The calculation puts the energy of formation at 0.032 eV/atom.

The structure belongs to space group I4/mmm (No. 139); the cell edges are 10.866, 10.866 and 5.145 Å and the angles 90.00°, 90.00° and 90.00°. Symmetry generates all atoms from La at (0.167, 0.167, 0.000), Sm at (0.000, 0.000, 0.500) and Er at (0.000, 0.338, 0.500).

***

(4)
This record from Alexandria via LeMat-Bulk describes crystalline LaSm8Er3 at its relaxed geometry. The functional is GGA-PBE.

The raw total energy is -104.6 eV for the cell shown. The calculation puts the energy of formation at 0.339 eV/atom.

The structure belongs to space group Immm (No. 71); the cell edges are 6.537, 11.420 and 11.567 Å and the angles 90.00°, 90.00° and 90.00°. Symmetry generates all atoms from La at (0.000, 0.000, 0.000), Sm at (0.000, 0.168, 0.252), Sm at (0.238, 0.265, 0.000), Er at (0.000, 0.000, 0.500) and Er at (0.000, 0.500, 0.230).

***

(5)
This record from Alexandria via LeMat-Bulk describes crystalline La3Sm5Er3 at its relaxed geometry. The functional is GGA-PBE.

The raw total energy is -44.0 eV for the cell shown. The calculation puts the energy of formation at 0.729 eV/atom.

The structure belongs to space group P-62m (No. 189); the cell edges are 9.5990, 9.5990 and 5.6464 Å and the angles 90.00°, 90.00° and 120.00°. Symmetry generates all atoms from La at (0.0000, 0.6156, 0.0000), Sm at (0.0000, 0.3838, 0.5000), Sm at (0.3333, 0.6667, 0.5000) and Er at (0.0000, 0.7660, 0.5000).

***

(6)
This record from Alexandria via LeMat-Bulk describes crystalline La3Sm2Er6 at its relaxed geometry. The functional is GGA-PBE.

The raw total energy is -98.9 eV for the cell shown. The calculation puts the energy of formation at 0.194 eV/atom.

The structure belongs to space group C2/m (No. 12); the cell edges are 6.187, 10.745 and 11.631 Å and the angles 90.00°, 100.32° and 90.00°. Symmetry generates all atoms from La at (0.000, 0.000, 0.000), La at (0.000, 0.336, 0.000), Sm at (0.000, 0.166, 0.500), Er at (0.248, 0.334, 0.746) and Er at (0.250, 0.000, 0.747).